A plane-wave DFT calculation with GGA-PBEsol was carried out for a relaxed structure of KCa2Mg.

Cell: 3.9387 3.9387 10.5443 Å, 90.00 90.00 90.00°
With the nearest neighbours (Å) after each atom.
Sites, in units of the cell vectors:
1 K 0.0000 0.0000 0.0000  4 K 3.94, 8 Ca 4.35
2 Ca 0.5000 0.5000 0.3169  4 Mg 3.39
3 Ca 0.5000 0.5000 0.6831  4 Mg 3.39
4 Mg 0.0000 0.0000 0.5000  8 Ca 3.39

## Properties
total moment: 0.00 μB/cell
energy: -6.92 eV/cell
formation enthalpy at 0 K: 0.05 eV/atom



A plane-wave DFT calculation with GGA-PBEsol was carried out for a relaxed structure of CrPSe3.

Cell: 13.7565 3.5009 9.7265 Å, 90.00 90.00 90.00°
With the nearest neighbours (Å) after each atom.
Sites, in units of the cell vectors:
1 Cr 0.0626 0.2500 0.1266  6 Se 2.45-2.60
2 Cr 0.4374 0.7500 0.6266  6 Se 2.45-2.60
3 Cr 0.5626 0.2500 0.3734  6 Se 2.45-2.60
4 Cr 0.9374 0.7500 0.8734  6 Se 2.45-2.60
5 P 0.1961 0.7500 0.3671  3 Se 2.28-2.39
6 P 0.3039 0.2500 0.8671  3 Se 2.28-2.39
7 P 0.6961 0.7500 0.1329  3 Se 2.28-2.39
8 P 0.8039 0.2500 0.6329  3 Se 2.28-2.39
9 Se 0.0624 0.2500 0.8742  3 Cr 2.45-2.46
10 Se 0.0790 0.2500 0.3925  2 P 2.39, 1 Cr 2.60
11 Se 0.1981 0.7500 0.1331  1 P 2.28
12 Se 0.3019 0.2500 0.6331  1 P 2.28
13 Se 0.4210 0.7500 0.8925  2 P 2.39, 1 Cr 2.60
14 Se 0.4376 0.7500 0.3742  3 Cr 2.45-2.46
15 Se 0.5624 0.2500 0.6258  3 Cr 2.45-2.46
16 Se 0.5790 0.2500 0.1075  2 P 2.39, 1 Cr 2.60
17 Se 0.6981 0.7500 0.3669  1 P 2.28
18 Se 0.8019 0.2500 0.8669  1 P 2.28
19 Se 0.9210 0.7500 0.6075  2 P 2.39, 1 Cr 2.60
20 Se 0.9376 0.7500 0.1258  3 Cr 2.45-2.46

## Properties
total moment: 11.99 μB/cell
energy: -113.94 eV/cell
ΔE_f (raw): -17 kJ/mol of atoms



A plane-wave DFT calculation with GGA-PBEsol was carried out for a relaxed structure of Ru3Pt5.

Cell: 5.4573 5.4573 3.8431 Å, 90.00 90.00 90.34°
With the nearest neighbours (Å) after each atom.
Sites, in units of the cell vectors:
1 Ru 0.0000 0.0000 0.0000  4 Ru 2.69, 8 Pt 2.70-2.73
2 Ru 0.2450 0.2450 0.5000  10 Pt 2.67-2.78, 2 Ru 2.69
3 Ru 0.7550 0.7550 0.5000  10 Pt 2.67-2.78, 2 Ru 2.69
4 Pt 0.0000 0.5000 0.0000  6 Pt 2.72-2.73, 6 Ru 2.73
5 Pt 0.2450 0.7550 0.5000  6 Ru 2.67-2.78, 6 Pt 2.72-2.75
6 Pt 0.5000 0.0000 0.0000  6 Pt 2.72-2.73, 6 Ru 2.73
7 Pt 0.5000 0.5000 0.0000  8 Pt 2.73-2.75, 4 Ru 2.75
8 Pt 0.7550 0.2450 0.5000  6 Ru 2.67-2.78, 6 Pt 2.72-2.75

## Properties
total moment: 0.00 μB/cell
energy: -64.93 eV/cell
formation enthalpy at 0 K: 0.05 eV/atom



A plane-wave DFT calculation with GGA-PBEsol was carried out for a relaxed structure of LiPt3Cl.

Cell: 4.4958 4.4958 4.4958 Å, 90.00 90.00 90.00°
With the nearest neighbours (Å) after each atom.
Sites, in units of the cell vectors:
1 Li 0.0000 0.0000 0.0000  12 Pt 3.18
2 Pt 0.0000 0.5000 0.5000  2 Cl 2.25
3 Pt 0.5000 0.0000 0.5000  2 Cl 2.25
4 Pt 0.5000 0.5000 0.0000  2 Cl 2.25
5 Cl 0.5000 0.5000 0.5000  6 Pt 2.25

## Properties
total moment: 0.00 μB/cell
energy: -21.25 eV/cell
ΔE_f (raw): 70 kJ/mol of atoms
polymorph energy (0 for the lowest one): 0.00 kcal/mol of atoms



A plane-wave DFT calculation with GGA-PBEsol was carried out for a relaxed structure of FeCo2.

Cell: 3.9309 3.9309 4.8321 Å, 90.00 90.00 120.00°
With the nearest neighbours (Å) after each atom.
Sites, in units of the cell vectors:
1 Fe 0.3333 0.6667 0.1732  8 Co 2.39-2.42
2 Fe 0.6667 0.3333 0.8268  8 Co 2.39-2.42
3 Co 0.0000 0.0000 0.0000  2 Co 2.42, 6 Fe 2.42
4 Co 0.0000 0.0000 0.5000  8 Co 2.42
5 Co 0.3333 0.6667 0.6733  5 Fe 2.39-2.42, 3 Co 2.42
6 Co 0.6667 0.3333 0.3267  5 Fe 2.39-2.42, 3 Co 2.42

## Properties
total moment: 12.06 μB/cell
energy: -48.63 eV/cell
formation enthalpy at 0 K: 0.04 eV/atom



A plane-wave DFT calculation with GGA-PBEsol was carried out for a relaxed structure of NaGe4P3O12.

Cell: 9.5713 9.5713 9.5713 Å, 59.09 59.09 59.09°
With the nearest neighbours (Å) after each atom.
Sites, in units of the cell vectors:
1 Na 0.0000 0.0000 0.0000  9 O 2.48-2.67
2 Na 0.5000 0.5000 0.5000  9 O 2.48-2.67
3 Ge 0.0510 0.5820 0.7027  3 O 1.92-1.97
4 Ge 0.0820 0.5510 0.2027  3 O 1.92-1.97
5 Ge 0.1413 0.1413 0.1413  3 O 1.94
6 Ge 0.2027 0.0820 0.5510  3 O 1.92-1.97
7 Ge 0.5510 0.2027 0.0820  3 O 1.92-1.97
8 Ge 0.5820 0.7027 0.0510  3 O 1.92-1.97
9 Ge 0.6413 0.6413 0.6413  3 O 1.94
10 Ge 0.7027 0.0510 0.5820  3 O 1.92-1.97
11 P 0.1926 0.7413 0.2846  4 O 1.54-1.56
12 P 0.2413 0.6926 0.7846  4 O 1.54-1.56
13 P 0.2846 0.1926 0.7413  4 O 1.54-1.56
14 P 0.6926 0.7846 0.2413  4 O 1.54-1.56
15 P 0.7413 0.2846 0.1926  4 O 1.54-1.56
16 P 0.7846 0.2413 0.6926  4 O 1.54-1.56
17 O 0.0803 0.9342 0.2621  1 P 1.55
18 O 0.1049 0.6270 0.4635  1 P 1.54
19 O 0.1270 0.6049 0.9635  1 P 1.54
20 O 0.1439 0.2035 0.6960  1 P 1.56
21 O 0.1960 0.7035 0.6439  1 P 1.56
22 O 0.2035 0.6960 0.1439  1 P 1.56
23 O 0.2065 0.8779 0.7640  1 P 1.55
24 O 0.2621 0.0803 0.9342  1 P 1.55
25 O 0.2640 0.3779 0.7065  1 P 1.55
26 O 0.3779 0.7065 0.2640  1 P 1.55
27 O 0.4342 0.5803 0.7621  1 P 1.55
28 O 0.4635 0.1049 0.6270  1 P 1.54
29 O 0.5803 0.7621 0.4342  1 P 1.55
30 O 0.6049 0.9635 0.1270  1 P 1.54
31 O 0.6270 0.4635 0.1049  1 P 1.54
32 O 0.6439 0.1960 0.7035  1 P 1.56
33 O 0.6960 0.1439 0.2035  1 P 1.56
34 O 0.7035 0.6439 0.1960  1 P 1.56
35 O 0.7065 0.2640 0.3779  1 P 1.55
36 O 0.7621 0.4342 0.5803  1 P 1.55
37 O 0.7640 0.2065 0.8779  1 P 1.55
38 O 0.8779 0.7640 0.2065  1 P 1.55
39 O 0.9342 0.2621 0.0803  1 P 1.55
40 O 0.9635 0.1270 0.6049  1 P 1.54

## Properties
total moment: 0.00 μB/cell
energy: -277.59 eV/cell
ΔE_f (raw): -180 kJ/mol of atoms



> Which value of energy does entry 5 give?

-48.63 eV/cell



Copy entry 2 word for word.
A plane-wave DFT calculation with GGA-PBEsol was carried out for a relaxed structure of CrPSe3.

Cell: 13.7565 3.5009 9.7265 Å, 90.00 90.00 90.00°
With the nearest neighbours (Å) after each atom.
Sites, in units of the cell vectors:
1 Cr 0.0626 0.2500 0.1266  6 Se 2.45-2.60
2 Cr 0.4374 0.7500 0.6266  6 Se 2.45-2.60
3 Cr 0.5626 0.2500 0.3734  6 Se 2.45-2.60
4 Cr 0.9374 0.7500 0.8734  6 Se 2.45-2.60
5 P 0.1961 0.7500 0.3671  3 Se 2.28-2.39
6 P 0.3039 0.2500 0.8671  3 Se 2.28-2.39
7 P 0.6961 0.7500 0.1329  3 Se 2.28-2.39
8 P 0.8039 0.2500 0.6329  3 Se 2.28-2.39
9 Se 0.0624 0.2500 0.8742  3 Cr 2.45-2.46
10 Se 0.0790 0.2500 0.3925  2 P 2.39, 1 Cr 2.60
11 Se 0.1981 0.7500 0.1331  1 P 2.28
12 Se 0.3019 0.2500 0.6331  1 P 2.28
13 Se 0.4210 0.7500 0.8925  2 P 2.39, 1 Cr 2.60
14 Se 0.4376 0.7500 0.3742  3 Cr 2.45-2.46
15 Se 0.5624 0.2500 0.6258  3 Cr 2.45-2.46
16 Se 0.5790 0.2500 0.1075  2 P 2.39, 1 Cr 2.60
17 Se 0.6981 0.7500 0.3669  1 P 2.28
18 Se 0.8019 0.2500 0.8669  1 P 2.28
19 Se 0.9210 0.7500 0.6075  2 P 2.39, 1 Cr 2.60
20 Se 0.9376 0.7500 0.1258  3 Cr 2.45-2.46

## Properties
total moment: 11.99 μB/cell
energy: -113.94 eV/cell
ΔE_f (raw): -17 kJ/mol of atoms



> Which of these has the highest energy?

KCa2Mg